(1)
CaTm2Tl | PBE | relaxed

For the energy above the lowest structure with this stoichiometry, the calculation gives 0.0 meV per atom. Its formation energy from the elements is -2.6 kcal/mol of atoms. For the volume, the calculation gives 114.9 Å³ per cell.

The structure belongs to space group P4/mmm (No. 123); the cell edges are 4.8792, 4.8792 and 4.8266 Å and the angles 90.00°, 90.00° and 90.00°. The distinct sites, in fractional coordinates, are Ca at (0.0000, 0.0000, 0.0000), Tm at (0.0000, 0.5000, 0.5000) and Tl at (0.5000, 0.5000, 0.0000).

(2)
Ca2Tm2Tl7 | PBE | relaxed

Its formation energy from the elements is -0.8 kcal/mol of atoms. For the volume, the calculation gives 700.6 Å³ per cell.

The structure belongs to space group Cmmm (No. 65); the cell edges are 7.1370, 11.8534 and 8.2818 Å and the angles 90.00°, 90.00° and 90.00°. The distinct sites, in fractional coordinates, are Ca at (0.2456, 0.0000, 0.0000), Tm at (0.0000, 0.2629, 0.5000), Tl at (0.0000, 0.0000, 0.5000), Tl at (0.0000, 0.5000, 0.3142) and Tl at (0.2500, 0.2500, 0.1876).

(3)
CaTmTl | PBE | relaxed

For the energy above the lowest structure with this stoichiometry, the calculation gives 279.3 meV per atom. Its formation energy from the elements is -0.2 kcal/mol of atoms. For the volume, the calculation gives 194.6 Å³ per cell.

The structure belongs to space group P4/nmm (No. 129, origin choice 2); the cell edges are 4.9593, 4.9593 and 7.9108 Å and the angles 90.00°, 90.00° and 90.00°. The distinct sites, in fractional coordinates, are Ca at (0.2500, 0.2500, 0.1935), Tm at (0.2500, 0.2500, 0.7413) and Tl at (0.2500, 0.7500, 0.5000).

(4)
CaTm2Tl | PBE | relaxed

For the energy above the lowest structure with this stoichiometry, the calculation gives 212.0 meV per atom. Its formation energy from the elements is 2.3 kcal/mol of atoms. For the volume, the calculation gives 386.9 Å³ per cell.

The structure belongs to space group R-3m (No. 166, hexagonal axes); the cell edges are 3.5648, 3.5648 and 35.1530 Å and the angles 90.00°, 90.00° and 120.00°. The distinct sites, in fractional coordinates, are Ca at (0.0000, 0.0000, 0.0000), Tm at (0.0000, 0.0000, 0.0961) and Tl at (0.0000, 0.0000, 0.5000).

(5)
Ca2TmTl | PBE | relaxed

For the energy above the lowest structure with this stoichiometry, the calculation gives 257.8 meV per atom. Its formation energy from the elements is 2.4 kcal/mol of atoms. For the volume, the calculation gives 431.9 Å³ per cell.

The structure belongs to space group R-3m (No. 166, hexagonal axes); the cell edges are 3.6484, 3.6484 and 37.4680 Å and the angles 90.00°, 90.00° and 120.00°. The distinct sites, in fractional coordinates, are Ca at (0.0000, 0.0000, 0.0871), Tm at (0.0000, 0.0000, 0.5000) and Tl at (0.0000, 0.0000, 0.0000).

(6)
CaTm5Tl6 | PBE | relaxed

For the energy above the lowest structure with this stoichiometry, the calculation gives 76.5 meV per atom. Its formation energy from the elements is -5.4 kcal/mol of atoms. For the volume, the calculation gives 688.7 Å³ per cell.

The structure belongs to space group C2/m (No. 12); the cell edges are 9.8263, 11.0915 and 6.4689 Å and the angles 90.00°, 102.34° and 90.00°. The distinct sites, in fractional coordinates, are Ca at (0.0000, 0.0000, 0.0000), Tm at (0.0000, 0.1691, 0.5000), Tm at (0.0000, 0.3373, 0.0000), Tm at (0.0000, 0.5000, 0.5000), Tl at (0.2485, 0.0000, 0.7371) and Tl at (0.2498, 0.1709, 0.2478).

In the order shown, the computed E values come out to -13.8, -59.8, -17.7, -38.8, -31.3, -82.7 eV per cell.